No. 1
The following is a PBE calculation of an optimized crystal structure of CaPuH, from Alexandria via LeMat-Bulk.

POSCAR file:
```
CaPuH
1.0
3.612 0.000 0.000
0.000 7.729 0.000
-3.603 0.000 4.843
Ca Pu H
2 2 2
direct
0.000 0.142 0.250
0.000 0.858 0.750
0.000 0.404 0.750
0.000 0.596 0.250
0.500 0.373 0.250
0.500 0.627 0.750
```

Summary:
DFT total energy	-6.599	eV per atom
volume	22.539	A^3/atom

No. 2
The following is a PBE calculation of an optimized crystal structure of CaPuH4, from Alexandria via LeMat-Bulk.

POSCAR file:
```
CaPuH4
1.0
3.749 0.000 0.000
0.000 3.749 0.000
0.000 0.000 5.395
Ca Pu H
1 1 4
direct
0.000 0.000 0.000
0.500 0.500 0.500
0.000 0.500 0.256
0.000 0.500 0.744
0.500 0.000 0.256
0.500 0.000 0.744
```

Summary:
DFT total energy	-5.412	eV per atom
volume	12.642	A^3/atom

No. 3
The following is a PBE calculation of an optimized crystal structure of Ca5Pu3H12, from Alexandria via LeMat-Bulk.

POSCAR file:
```
Ca5Pu3H12
1.0
-6.646 6.646 6.646
6.646 -6.646 6.646
6.646 6.646 -6.646
Ca Pu H
20 12 48
direct
0.000 0.000 0.000
0.000 0.000 0.500
0.000 0.500 0.000
0.000 0.500 0.500
0.125 0.750 0.875
0.125 0.875 0.250
0.250 0.125 0.875
0.250 0.625 0.375
0.375 0.250 0.625
0.375 0.625 0.750
0.500 0.000 0.000
0.500 0.000 0.500
0.500 0.500 0.000
0.500 0.500 0.500
0.625 0.375 0.250
0.625 0.750 0.375
0.750 0.375 0.625
0.750 0.875 0.125
0.875 0.125 0.750
0.875 0.250 0.125
0.125 0.250 0.375
0.125 0.375 0.750
0.250 0.375 0.125
0.250 0.875 0.625
0.375 0.125 0.250
0.375 0.750 0.125
0.625 0.250 0.875
0.625 0.875 0.750
0.750 0.125 0.375
0.750 0.625 0.875
0.875 0.625 0.250
0.875 0.750 0.625
0.065 0.229 0.147
0.065 0.335 0.918
0.082 0.647 0.418
0.082 0.729 0.665
0.082 0.853 0.418
0.082 0.935 0.665
0.147 0.065 0.229
0.147 0.582 0.918
0.165 0.229 0.582
0.165 0.435 0.582
0.229 0.147 0.065
0.229 0.582 0.165
0.271 0.335 0.918
0.271 0.435 0.353
0.335 0.918 0.065
0.335 0.918 0.271
0.353 0.271 0.435
0.353 0.582 0.918
0.418 0.082 0.647
0.418 0.082 0.853
0.418 0.835 0.565
0.418 0.835 0.771
0.435 0.353 0.271
0.435 0.582 0.165
0.565 0.418 0.835
0.565 0.647 0.729
0.582 0.165 0.229
0.582 0.165 0.435
0.582 0.918 0.147
0.582 0.918 0.353
0.647 0.418 0.082
0.647 0.729 0.565
0.665 0.082 0.729
0.665 0.082 0.935
0.729 0.565 0.647
0.729 0.665 0.082
0.771 0.418 0.835
0.771 0.853 0.935
0.835 0.565 0.418
0.835 0.771 0.418
0.853 0.418 0.082
0.853 0.935 0.771
0.918 0.065 0.335
0.918 0.147 0.582
0.918 0.271 0.335
0.918 0.353 0.582
0.935 0.665 0.082
0.935 0.771 0.853
```

Summary:
DFT total energy	-4.965	eV per atom
volume	14.675	A^3/atom

No. 4
The following is a PBE calculation of an optimized crystal structure of Ca2PuH8Rh, from Alexandria via LeMat-Bulk.

POSCAR file:
```
Ca2PuH8Rh
1.0
4.811 0.000 0.000
-2.406 4.167 0.000
0.000 0.000 6.771
Ca Pu H Rh
2 1 8 1
direct
0.333 0.667 0.346
0.667 0.333 0.654
0.000 0.000 0.000
0.161 0.322 0.662
0.161 0.839 0.662
0.322 0.161 0.338
0.333 0.667 0.021
0.667 0.333 0.979
0.678 0.839 0.662
0.839 0.161 0.338
0.839 0.678 0.338
0.000 0.000 0.500
```

Summary:
DFT total energy	-4.733	eV per atom
volume	11.310	A^3/atom

No. 5
The following is a PBE calculation of an optimized crystal structure of Ca2PuH12Rh3, from Alexandria via LeMat-Bulk.

POSCAR file:
```
Ca2PuH12Rh3
1.0
3.306 1.909 4.770
-3.306 1.909 4.770
0.000 -3.817 4.770
Ca Pu H Rh
2 1 12 3
direct
0.118 0.118 0.118
0.882 0.882 0.882
0.500 0.500 0.500
0.075 0.639 0.639
0.218 0.218 0.623
0.218 0.623 0.218
0.361 0.361 0.925
0.361 0.925 0.361
0.377 0.782 0.782
0.623 0.218 0.218
0.639 0.075 0.639
0.639 0.639 0.075
0.782 0.377 0.782
0.782 0.782 0.377
0.925 0.361 0.361
0.000 0.500 0.500
0.500 0.000 0.500
0.500 0.500 0.000
```

Summary:
DFT total energy	-4.808	eV per atom
volume	10.032	A^3/atom

No. 6
The following is a PBE calculation of an optimized crystal structure of Rb3CaH, from Alexandria via LeMat-Bulk.

POSCAR file:
```
Rb3CaH
1.0
6.357 0.000 0.000
0.000 6.357 0.000
0.000 0.000 6.357
Rb Ca H
3 1 1
direct
0.000 0.000 0.500
0.000 0.500 0.000
0.500 0.000 0.000
0.500 0.500 0.500
0.000 0.000 0.000
```

Summary:
DFT total energy	-1.501	eV per atom
volume	51.382	A^3/atom

No. 7
The following is a PBE calculation of an optimized crystal structure of RbCaH2, from Alexandria via LeMat-Bulk.

POSCAR file:
```
RbCaH2
1.0
1.940 1.120 7.737
-1.940 1.120 7.737
0.000 -2.240 7.737
Rb Ca H
1 1 2
direct
0.000 0.000 0.000
0.500 0.500 0.500
0.129 0.129 0.129
0.871 0.871 0.871
```

Summary:
excess energy over the best structure of this formula in the dataset	0.16	eV per formula unit
DFT total energy	-2.583	eV per atom
volume	25.207	A^3/atom

No. 8
The following is a PBE calculation of an optimized crystal structure of RbCaH3, from Alexandria via LeMat-Bulk.

POSCAR file:
```
RbCaH3
1.0
4.362 0.000 0.000
-2.181 3.778 0.000
0.000 0.000 9.748
Rb Ca H
2 2 6
direct
0.333 0.667 0.250
0.667 0.333 0.750
0.000 0.000 0.000
0.000 0.000 0.500
0.000 0.000 0.250
0.000 0.000 0.750
0.333 0.667 0.553
0.333 0.667 0.947
0.667 0.333 0.053
0.667 0.333 0.447
```

Summary:
excess energy over the best structure of this formula in the dataset	0.82	eV per formula unit
DFT total energy	-2.842	eV per atom
volume	16.063	A^3/atom

Magnetization
In order: 6.51, 5.76, 20.09, 6.01, 5.51, 0.00, 0.32, 0.00
Unit: μB per formula unit